Record 1
The following is a GGA-PBE calculation of a relaxed Tb3PrSm2 crystal, from the Alexandria database.

Cell lengths 9.053, 6.708, 6.708 Å; angles 95.09, 82.06, 82.06 degrees
Fractional positions:
Tb  0.250  0.419  0.581
Tb  0.750  0.581  0.419
Tb  0.999  0.835  0.668
Tb  0.501  0.332  0.165
Tb  0.499  0.668  0.835
Tb  0.001  0.165  0.332
Pr  0.750  0.914  0.086
Pr  0.250  0.086  0.914
Sm  0.626  0.129  0.624
Sm  0.126  0.624  0.129
Sm  0.874  0.376  0.871
Sm  0.374  0.871  0.376

Computed properties:
electronic total energy	-55.45	eV/cell
distance to the lowest polymorph of the same formula	0	meV/atom
formation energy	0.064	eV per atom
SG	C2/c (15)

---

Record 2
The following is a GGA-PBE calculation of a relaxed Tb6PrSm12 crystal, from the Alexandria database.

Cell lengths 8.812, 8.812, 8.812 Å; angles 98.83, 98.83, 98.83 degrees
Fractional positions:
Tb  0.902  0.341  0.902
Tb  0.902  0.902  0.341
Tb  0.341  0.902  0.902
Tb  0.098  0.098  0.659
Tb  0.098  0.659  0.098
Tb  0.659  0.098  0.098
Pr  0.000  0.000  0.000
Sm  0.759  0.241  0.500
Sm  0.356  0.083  0.356
Sm  0.356  0.356  0.083
Sm  0.917  0.644  0.644
Sm  0.644  0.644  0.917
Sm  0.644  0.917  0.644
Sm  0.500  0.759  0.241
Sm  0.241  0.500  0.759
Sm  0.241  0.759  0.500
Sm  0.500  0.241  0.759
Sm  0.759  0.500  0.241
Sm  0.083  0.356  0.356

Computed properties:
electronic total energy	-85.40	eV/cell
distance to the lowest polymorph of the same formula	59	meV/atom
formation energy	0.200	eV per atom
SG	R-3m (166)

---

Record 3
The following is a GGA-PBE calculation of a relaxed Tb4PrSm2 crystal, from the Alexandria database.

Cell lengths 8.192, 7.794, 7.763 Å; angles 90.00, 90.47, 90.00 degrees
Site moments in Bohr magnetons follow the coordinates.
Fractional positions:
Tb  0.280  0.248  0.252  0.04
Tb  0.720  0.245  0.248  0.04
Tb  0.280  0.755  0.752  0.04
Tb  0.720  0.752  0.748  0.04
Tb  0.720  0.755  0.248  0.04
Tb  0.720  0.248  0.748  0.04
Tb  0.280  0.752  0.252  0.04
Tb  0.280  0.245  0.752  0.04
Pr  0.500  0.500  0.000  0.07
Pr  0.000  0.500  0.000  0.01
Sm  0.000  0.000  0.000  0.01
Sm  0.000  0.000  0.500  0.01
Sm  0.000  0.500  0.500  0.01
Sm  0.500  0.000  0.500  0.08

Computed properties:
electronic total energy	-61.06	eV/cell
distance to the lowest polymorph of the same formula	196	meV/atom
formation energy	0.316	eV per atom
SG	P2/m (10)

---

Record 4
The following is a GGA-PBE calculation of a relaxed Tb7Pr2Sm2 crystal, from the Alexandria database.

Cell lengths 6.134, 8.137, 8.137 Å; angles 91.69, 73.77, 73.77 degrees
Fractional positions:
Tb  0.176  0.064  0.588
Tb  0.824  0.412  0.936
Tb  0.824  0.936  0.412
Tb  0.176  0.588  0.064
Tb  0.000  0.000  0.000
Tb  0.578  0.769  0.769
Tb  0.422  0.231  0.231
Pr  0.810  0.405  0.405
Pr  0.190  0.595  0.595
Sm  0.500  0.213  0.787
Sm  0.500  0.787  0.213

Computed properties:
electronic total energy	-49.80	eV/cell
formation energy	0.146	eV per atom
SG	C2/m (12)

---

Record 5
The following is a GGA-PBE calculation of a relaxed Tb4PrSm6 crystal, from the Alexandria database.

Cell lengths 9.931, 9.931, 9.931 Å; angles 55.87, 141.31, 141.31 degrees
Fractional positions:
Tb  0.000  0.636  0.010
Tb  0.374  0.364  0.364
Tb  0.000  0.010  0.636
Tb  0.626  0.990  0.990
Pr  0.000  0.000  0.000
Sm  0.000  0.813  0.454
Sm  0.000  0.454  0.813
Sm  0.359  0.546  0.546
Sm  0.500  0.500  0.000
Sm  0.641  0.187  0.187
Sm  0.500  0.000  0.500

Computed properties:
electronic total energy	-48.26	eV/cell
distance to the lowest polymorph of the same formula	0	meV/atom
formation energy	0.305	eV per atom
SG	I-42m (121)

---

Record 6
The following is a GGA-PBE calculation of a relaxed Tb3Pr2Sm5 crystal, from the Alexandria database.

Cell lengths 6.897, 12.467, 12.467 Å; angles 44.78, 73.94, 73.94 degrees
Fractional positions:
Tb  0.250  0.000  0.000
Tb  0.750  0.000  0.000
Tb  0.378  0.371  0.873
Tb  0.622  0.629  0.127
Tb  0.878  0.873  0.371
Tb  0.122  0.127  0.629
Pr  0.123  0.776  0.978
Pr  0.877  0.224  0.022
Pr  0.623  0.978  0.776
Pr  0.377  0.022  0.224
Sm  0.250  0.500  0.500
Sm  0.750  0.500  0.500
Sm  0.499  0.751  0.751
Sm  0.001  0.249  0.249
Sm  0.501  0.249  0.249
Sm  0.999  0.751  0.751
Sm  0.126  0.466  0.283
Sm  0.874  0.534  0.717
Sm  0.626  0.283  0.466
Sm  0.374  0.717  0.534

Computed properties:
electronic total energy	-86.59	eV/cell
distance to the lowest polymorph of the same formula	188	meV/atom
formation energy	0.375	eV per atom
SG	Ibam (72)

---

Record 7
The following is a GGA-PBE calculation of a relaxed TbPr6Sm4 crystal, from the Alexandria database.

Cell lengths 8.687, 8.687, 8.687 Å; angles 77.96, 127.18, 127.18 degrees
Fractional positions:
Tb  0.000  0.000  0.000
Pr  0.000  0.040  0.582
Pr  0.000  0.582  0.040
Pr  0.459  0.418  0.418
Pr  0.500  0.500  0.000
Pr  0.541  0.960  0.960
Pr  0.500  0.000  0.500
Sm  0.000  0.410  0.748
Sm  0.338  0.590  0.590
Sm  0.000  0.748  0.410
Sm  0.662  0.252  0.252

Computed properties:
electronic total energy	-48.39	eV/cell
distance to the lowest polymorph of the same formula	64	meV/atom
formation energy	0.345	eV per atom
SG	I-42m (121)

---

Record 8
The following is a GGA-PBE calculation of a relaxed Tb5PrSm6 crystal, from the Alexandria database.

Cell lengths 11.956, 6.250, 6.248 Å; angles 59.99, 85.01, 79.98 degrees
Fractional positions:
Tb  0.500  0.167  0.666
Tb  0.000  0.333  0.333
Tb  0.500  0.500  0.000
Tb  0.000  0.667  0.667
Tb  0.500  0.833  0.334
Pr  0.000  0.000  0.000
Sm  0.748  0.084  0.334
Sm  0.252  0.582  0.334
Sm  0.251  0.250  0.000
Sm  0.749  0.750  0.000
Sm  0.748  0.418  0.666
Sm  0.252  0.916  0.666

Computed properties:
electronic total energy	-56.08	eV/cell
distance to the lowest polymorph of the same formula	0	meV/atom
formation energy	0.014	eV per atom
SG	C2/m (12)

---

Record 9
The following is a GGA-PBE calculation of a relaxed Tb4Pr2Sm3 crystal, from the Alexandria database.

Cell lengths 6.267, 8.093, 6.260 Å; angles 104.93, 80.49, 97.57 degrees
Fractional positions:
Tb  0.776  0.555  0.890
Tb  0.224  0.445  0.110
Tb  0.446  0.889  0.222
Tb  0.554  0.111  0.778
Pr  0.668  0.332  0.332
Pr  0.332  0.668  0.668
Sm  0.890  0.779  0.443
Sm  0.110  0.221  0.557
Sm  0.000  0.000  0.000

Computed properties:
electronic total energy	-42.08	eV/cell
distance to the lowest polymorph of the same formula	0	meV/atom
formation energy	0.017	eV per atom
SG	P-1 (2)

---

Record 10
The following is a GGA-PBE calculation of a relaxed Tb3Pr2Sm7 crystal, from the Alexandria database.

Cell lengths 3.576, 6.448, 18.237 Å; angles 75.48, 90.00, 90.00 degrees
Fractional positions:
Tb  0.500  0.500  0.000
Tb  0.000  0.111  0.341
Tb  0.000  0.889  0.659
Pr  0.500  0.613  0.329
Pr  0.500  0.387  0.671
Sm  0.500  0.241  0.502
Sm  0.500  0.759  0.498
Sm  0.000  0.560  0.164
Sm  0.000  0.000  0.000
Sm  0.000  0.440  0.836
Sm  0.500  0.940  0.832
Sm  0.500  0.060  0.168

Computed properties:
electronic total energy	-55.65	eV/cell
distance to the lowest polymorph of the same formula	0	meV/atom
formation energy	0.070	eV per atom
SG	P2/m (10)

---

Record 11
The following is a GGA-PBE calculation of a relaxed Tb2Pr6Sm crystal, from the Alexandria database.

Cell lengths 6.127, 13.599, 13.599 Å; angles 123.98, 69.67, 69.67 degrees
Fractional positions:
Tb  0.364  0.495  0.676
Tb  0.136  0.324  0.505
Tb  0.636  0.505  0.324
Tb  0.864  0.676  0.495
Pr  0.608  0.776  0.831
Pr  0.892  0.169  0.224
Pr  0.392  0.224  0.169
Pr  0.108  0.831  0.776
Pr  0.864  0.820  0.350
Pr  0.636  0.650  0.180
Pr  0.136  0.180  0.650
Pr  0.364  0.350  0.820
Pr  0.537  0.615  0.941
Pr  0.963  0.059  0.385
Pr  0.463  0.385  0.059
Pr  0.037  0.941  0.615
Sm  0.250  0.110  0.890
Sm  0.750  0.890  0.110

Computed properties:
electronic total energy	-82.64	eV/cell
distance to the lowest polymorph of the same formula	0	meV/atom
formation energy	0.148	eV per atom
SG	C2/c (15)

---

Record 12
The following is a GGA-PBE calculation of a relaxed Tb2PrSm8 crystal, from the Alexandria database.

Cell lengths 6.732, 10.413, 10.413 Å; angles 37.93, 59.31, 59.31 degrees
Fractional positions:
Tb  0.605  0.796  0.796
Tb  0.395  0.204  0.204
Pr  0.000  0.000  0.000
Sm  0.231  0.353  0.826
Sm  0.769  0.174  0.647
Sm  0.177  0.756  0.756
Sm  0.823  0.244  0.244
Sm  0.231  0.826  0.353
Sm  0.769  0.647  0.174
Sm  0.729  0.591  0.591
Sm  0.271  0.409  0.409

Computed properties:
electronic total energy	-49.99	eV/cell
distance to the lowest polymorph of the same formula	54	meV/atom
formation energy	0.164	eV per atom
SG	C2/m (12)

---

Calculated volume for the records above, in order: 33.094 34.578 35.402 33.801 34.530 36.025 36.664 33.175 33.476 33.920 35.135 34.342 Å³ per atom